Compound: CrP2WO
Source: Alexandria
Functional: PBE+U
Structure: relaxed

CIF file:
```
data_CrP2WO
_cell_length_a 4.9090
_cell_length_b 4.9090
_cell_length_c 3.8117
_cell_angle_alpha 90.00
_cell_angle_beta 90.00
_cell_angle_gamma 90.00
_space_group_name_H-M_alt 'P 4/m m m'
_space_group_IT_number 123
_space_group_name_Hall '-P 4 2'
loop_
_atom_site_label
_atom_site_fract_x
_atom_site_fract_y
_atom_site_fract_z
_atom_site_occupancy
Cr1 0.0000 0.0000 0.0000 1
P1 0.0000 0.5000 0.5000 1
W1 0.5000 0.5000 0.5000 1
O1 0.5000 0.5000 0.0000 1
```

Properties
As for the total energy: -6.13 eV/atom. Its size of the total moment is 4.59 μB/f.u. The calculation puts the mass density at 5.67 Mg/m³. The value obtained for the density of states at the Fermi level is 2.18 states/eV per cell.